A plane-wave DFT calculation with PBE was carried out for a relaxed Fe2MoAu crystal.

Results
Energy above the most stable polymorph in this dataset, meV/atom: 216
Crystal system: cubic
ΔE_f, eV/atom: 0.38

a = 4.359 Å, b = 4.359 Å, c = 4.359 Å
α = 60.00°, β = 60.00°, γ = 60.00°
Site moments in Bohr magnetons follow the coordinates.
Fractional coordinates of all 4 atoms:
Au 0.500 0.500 0.500  -0.02
Fe 0.000 0.000 0.000  2.40
Fe 0.750 0.750 0.750  2.71
Mo 0.250 0.250 0.250  -0.67

***

A plane-wave DFT calculation with PBE was carried out for a relaxed PuTiVOs crystal.

Results
Crystal system: cubic
ΔE_f, eV/atom: 0.02

a = 4.501 Å, b = 4.501 Å, c = 4.501 Å
α = 60.00°, β = 60.00°, γ = 60.00°
Site moments in Bohr magnetons follow the coordinates.
Fractional coordinates of all 4 atoms:
Ti 0.500 0.500 0.500  0.03
V 0.000 0.000 0.000  -0.06
Os 0.250 0.250 0.250  -0.26
Pu 0.750 0.750 0.750  4.64

***

A plane-wave DFT calculation with PBE was carried out for a relaxed ScCoBi2 crystal.

Results
Energy above the most stable polymorph in this dataset, meV/atom: 66
Crystal system: cubic
ΔE_f, eV/atom: 0.13

a = 5.024 Å, b = 5.024 Å, c = 5.024 Å
α = 60.00°, β = 60.00°, γ = 60.00°
Site moments in Bohr magnetons follow the coordinates.
Fractional coordinates of all 4 atoms:
Sc 0.000 0.000 0.000  0.33
Co 0.500 0.500 0.500  1.37
Bi 0.250 0.250 0.250  0.04
Bi 0.750 0.750 0.750  0.04

***

Q: What is the formula in the third record?
A: ScCoBi2